(1)
A geometry-optimized Th3Mg3Zn8 structure. Source: OQMD, functional PBE.

Lattice parameters (Å, degrees): 8.5469 8.5469 8.5469 149.35 115.17 73.41
Fractional positions:
Mg: 0.2010 0.0000 0.2010
Mg: 0.0000 0.5000 0.5000
Mg: 0.7990 0.0000 0.7990
Th: 0.2092 0.2092 0.0000
Th: 0.5000 0.5000 0.0000
Th: 0.7908 0.7908 0.0000
Zn: 0.6270 0.3527 0.2742
Zn: 0.9215 0.6473 0.2742
Zn: 0.5243 0.1606 0.3636
Zn: 0.2030 0.8394 0.3636
Zn: 0.7970 0.1606 0.6364
Zn: 0.4757 0.8394 0.6364
Zn: 0.0785 0.3527 0.7258
Zn: 0.3730 0.6473 0.7258

Calculated values
energy	-40.472	eV/cell
SG	Immm, No. 71
calculated density	7.56	g/cm3

(2)
A geometry-optimized HfZrSbAs structure. Source: OQMD, functional PBE.

Lattice parameters (Å, degrees): 3.9273 3.9273 13.3023 90.00 90.00 120.00
Fractional positions:
As: 0.0000 0.0000 0.2463
As: 0.0000 0.0000 0.7537
Hf: 0.3333 0.6667 0.1413
Hf: 0.3333 0.6667 0.8587
Sb: 0.6667 0.3333 0.0000
Sb: 0.3333 0.6667 0.5000
Zr: 0.6667 0.3333 0.3559
Zr: 0.6667 0.3333 0.6441

Calculated values
energy	-61.674	eV/cell
SG	P-6m2, No. 187
energy relative to the lowest polymorph listed for this composition	1	meV/atom
calculated density	8.72	g/cm3

(3)
A geometry-optimized Hf3PPd structure. Source: OQMD, functional PBE.

Lattice parameters (Å, degrees): 6.0403 6.0403 9.5274 90.00 90.00 145.75
Fractional positions:
Hf: 0.3540 0.6460 0.0691
Hf: 0.0669 0.9331 0.2500
Hf: 0.3540 0.6460 0.4309
Hf: 0.6460 0.3540 0.5691
Hf: 0.9331 0.0669 0.7500
Hf: 0.6460 0.3540 0.9309
P: 0.0000 0.0000 0.0000
P: 0.0000 0.0000 0.5000
Pd: 0.7479 0.2521 0.2500
Pd: 0.2521 0.7479 0.7500

Calculated values
energy	-88.725	eV/cell
SG	Cmcm, No. 63
calculated density	11.42	g/cm3